# Tb2SiNiO6 | the Alexandria database | PBE with a Hubbard U | optimized geometry
# DOS at the Fermi energy = 0.0 states/eV/cell
# uncorrected energy = -7.53 eV/atom
data_Tb2SiNiO6
_chemical_formula_sum 'Tb4 Si2 Ni2 O12'
_space_group_name_H-M_alt 'P 1 21/c 1'
_space_group_IT_number 14
_cell_length_a 5.235
_cell_length_b 5.466
_cell_length_c 9.100
_cell_angle_alpha 90.00
_cell_angle_beta 124.85
_cell_angle_gamma 90.00
loop_
_space_group_symop_operation_xyz
'x,y,z'
'-x,-y,-z'
'-x,y+1/2,-z+1/2'
'x,-y+1/2,z+1/2'
loop_
_atom_site_label
_atom_site_fract_x
_atom_site_fract_y
_atom_site_fract_z
Tb1 0.234 0.062 0.249
Si1 0.500 0.000 0.000
Ni1 0.000 0.000 0.500
O1 0.175 0.184 0.955
O2 0.267 0.721 0.948
O3 0.361 0.028 0.768